(1)
Compound: Ce2ScZn2Ga2
Source: Alexandria
Functional: PBE-GGA
Structure: relaxed

- Total energy: -4.215 eV per atom
- Total magnetic moment: 4.1 Bohr magnetons per cell
- Formation enthalpy at 0 K: -0.39 eV per atom

Unit cell a=4.3146 b=4.3146 c=25.9150 alpha=90.00 beta=90.00 gamma=120.00
Space group R-3m (No. 166, hexagonal axes)
Symmetry-distinct sites (fractional):
Ce  0.0000  0.0000  0.1397
Sc  0.0000  0.0000  0.0000
Zn  0.0000  0.0000  0.3942
Ga  0.0000  0.0000  0.2695

(2)
Compound: Ba2FeBr
Source: Alexandria
Functional: PBE-GGA
Structure: relaxed

- Formation energy without anion corrections: 0.28 eV/atom
- Total energy: -3.219 eV per atom
- Total magnetic moment: 5.6 Bohr magnetons per cell
- Offset from the most stable computed form: 2.36 eV per formula unit

Unit cell a=8.122 b=8.122 c=8.122 alpha=90.00 beta=90.00 gamma=90.00
Space group F-43m (No. 216)
Symmetry-distinct sites (fractional):
Ba  0.000  0.000  0.000
Ba  0.250  0.250  0.250
Fe  0.250  0.250  0.750
Br  0.000  0.000  0.500

(3)
Compound: Y2Zn2Au
Source: Alexandria
Functional: PBE-GGA
Structure: relaxed

- Total energy: -4.232 eV per atom
- Total magnetic moment: 0.0 Bohr magnetons per cell
- Offset from the most stable computed form: 0.19 eV per formula unit
- Formation enthalpy at 0 K: -0.48 eV per atom

Unit cell a=7.201 b=7.201 c=4.183 alpha=90.00 beta=90.00 gamma=90.00
Space group P4/mbm (No. 127)
Symmetry-distinct sites (fractional):
Y  0.174  0.326  0.000
Zn  0.125  0.625  0.500
Au  0.000  0.000  0.500